1.
MnZn2Au7 after structural relaxation. Source: the Alexandria database, functional GGA-PBE.

It has space group P3m1 (No. 156), with a = 4.4494 Å, b = 4.4494 Å, c = 10.8510 Å, α = 90.00°, β = 90.00° and γ = 120.00°. The asymmetric unit holds Mn at (0.0000, 0.0000, 0.0000), Zn at (0.3333, 0.6667, 0.6635), Zn at (0.6667, 0.3333, 0.3348), Au at (0.0000, 0.0000, 0.2545), Au at (0.0000, 0.0000, 0.7166), Au at (0.3333, 0.6667, 0.4147), Au at (0.3333, 0.6667, 0.9482), Au at (0.6667, 0.3333, 0.0998), Au at (0.6667, 0.3333, 0.5699) and Au at (0.6667, 0.3333, 0.8350).

The energy of formation comes out at -0.32 eV per formula unit. The value obtained for the total energy is -34.978 eV/cell. Its magnetization is 4.21 Bohr magnetons per cell. The calculation puts the density of states at the Fermi level at 0.434 states/eV per atom.

2.
MnZnAu after structural relaxation. Source: the Alexandria database, functional GGA-PBE.

It has space group Imm2 (No. 44), with a = 3.007 Å, b = 3.716 Å, c = 8.458 Å, α = 90.00°, β = 90.00° and γ = 90.00°. The asymmetric unit holds Mn at (0.000, 0.000, 0.000), Zn at (0.000, 0.000, 0.661) and Au at (0.000, 0.000, 0.329).

The energy of formation comes out at -0.15 eV per formula unit. The value obtained for the total energy is -27.743 eV/cell. Its magnetization is 7.97 Bohr magnetons per cell. The calculation puts the density of states at the Fermi level at 0.460 states/eV per atom.

3.
MnZn4Au3 after structural relaxation. Source: the Alexandria database, functional GGA-PBE.

It has space group C2/m (No. 12), with a = 18.100 Å, b = 2.974 Å, c = 4.952 Å, α = 90.00°, β = 104.93° and γ = 90.00°. The asymmetric unit holds Mn at (0.000, 0.000, 0.000), Zn at (0.123, 0.000, 0.451), Zn at (0.123, 0.500, 0.972), Au at (0.000, 0.500, 0.500) and Au at (0.246, 0.500, 0.748).

The energy of formation comes out at -0.76 eV per formula unit. The value obtained for the total energy is -49.707 eV/cell. Its magnetization is 7.73 Bohr magnetons per cell. For the energy above the most stable polymorph in this dataset, the calculation gives 41.0 meV/atom. The calculation puts the density of states at the Fermi level at 0.337 states/eV per atom.

4.
MnZn6Au5 after structural relaxation. Source: the Alexandria database, functional GGA-PBE.

It has space group Immm (No. 71), with a = 4.166 Å, b = 7.404 Å, c = 12.447 Å, α = 90.00°, β = 90.00° and γ = 90.00°. The asymmetric unit holds Mn at (0.000, 0.000, 0.000), Zn at (0.000, 0.240, 0.500), Zn at (0.000, 0.255, 0.164), Au at (0.000, 0.000, 0.323), Au at (0.000, 0.500, 0.000) and Au at (0.000, 0.500, 0.347).

The energy of formation comes out at -1.87 eV per formula unit. The value obtained for the total energy is -70.148 eV/cell. Its magnetization is 7.56 Bohr magnetons per cell. The calculation puts the density of states at the Fermi level at 0.320 states/eV per atom.

5.
MnZn3Au3 after structural relaxation. Source: the Alexandria database, functional GGA-PBE.

It has space group P2_13 (No. 198), with a = 7.773 Å, b = 7.773 Å, c = 7.773 Å, α = 90.00°, β = 90.00° and γ = 90.00°. The asymmetric unit holds Mn at (0.047, 0.453, 0.547), Zn at (0.130, 0.630, 0.870), Zn at (0.167, 0.833, 0.333), Zn at (0.169, 0.169, 0.169) and Au at (0.023, 0.301, 0.878).

The energy of formation comes out at -0.77 eV per formula unit. The value obtained for the total energy is -94.358 eV/cell. Its magnetization is 15.33 Bohr magnetons per cell. The calculation puts the density of states at the Fermi level at 0.386 states/eV per atom.

6.
Mn2ZnAu after structural relaxation. Source: the Alexandria database, functional GGA-PBE.

It has space group R-3m (No. 166, hexagonal axes), with a = 2.9080 Å, b = 2.9080 Å, c = 25.9868 Å, α = 90.00°, β = 90.00° and γ = 120.00°. The asymmetric unit holds Mn at (0.0000, 0.0000, 0.2469), Zn at (0.0000, 0.0000, 0.5000) and Au at (0.0000, 0.0000, 0.0000).

The energy of formation comes out at 0.74 eV per formula unit. The value obtained for the total energy is -66.458 eV/cell. Its magnetization is 22.87 Bohr magnetons per cell. The calculation puts the density of states at the Fermi level at 0.732 states/eV per atom.

7.
Mn2ZnAu after structural relaxation. Source: the Alexandria database, functional GGA-PBE.

It has space group Pmm2 (No. 25), with a = 3.122 Å, b = 3.163 Å, c = 6.013 Å, α = 90.00°, β = 90.00° and γ = 90.00°. The asymmetric unit holds Mn at (0.000, 0.000, 0.000), Mn at (0.500, 0.500, 0.204), Zn at (0.000, 0.000, 0.456) and Au at (0.500, 0.500, 0.723).

The energy of formation comes out at 0.02 eV per formula unit. The value obtained for the total energy is -22.869 eV/cell. Its magnetization is 0.31 Bohr magnetons per cell. The calculation puts the density of states at the Fermi level at 0.869 states/eV per atom.

8.
Mn2ZnAu after structural relaxation. Source: the Alexandria database, functional GGA-PBE.

It has space group I-42d (No. 122), with a = 7.138 Å, b = 7.138 Å, c = 5.319 Å, α = 90.00°, β = 90.00° and γ = 90.00°. The asymmetric unit holds Mn at (0.245, 0.250, 0.125), Zn at (0.000, 0.000, 0.000) and Au at (0.000, 0.000, 0.500).

The energy of formation comes out at 1.64 eV per formula unit. The value obtained for the total energy is -85.019 eV/cell. Its magnetization is 30.39 Bohr magnetons per cell. The calculation puts the density of states at the Fermi level at 0.947 states/eV per atom.

9.
MnZnAu6 after structural relaxation. Source: the Alexandria database, functional GGA-PBE.

It has space group C2/m (No. 12), with a = 7.816 Å, b = 5.457 Å, c = 7.597 Å, α = 90.00°, β = 107.14° and γ = 90.00°. The asymmetric unit holds Mn at (0.000, 0.000, 0.000), Zn at (0.000, 0.500, 0.500), Au at (0.145, 0.500, 0.933) and Au at (0.190, 0.252, 0.306).

The energy of formation comes out at 0.02 eV per formula unit. The value obtained for the total energy is -60.179 eV/cell. Its magnetization is 9.16 Bohr magnetons per cell. For the energy above the most stable polymorph in this dataset, the calculation gives 95.8 meV/atom. The calculation puts the density of states at the Fermi level at 0.315 states/eV per atom.

10.
Mn2ZnAu after structural relaxation. Source: the Alexandria database, functional GGA-PBE.

It has space group F-43m (No. 216), with a = 6.281 Å, b = 6.281 Å, c = 6.281 Å, α = 90.00°, β = 90.00° and γ = 90.00°. The asymmetric unit holds Mn at (0.000, 0.000, 0.000), Mn at (0.250, 0.250, 0.250), Zn at (0.000, 0.000, 0.500) and Au at (0.250, 0.250, 0.750).

The energy of formation comes out at 0.53 eV per formula unit. The value obtained for the total energy is -89.433 eV/cell. Its magnetization is 31.88 Bohr magnetons per cell. The calculation puts the density of states at the Fermi level at 1.178 states/eV per atom.

11.
MnZnAu after structural relaxation. Source: the Alexandria database, functional GGA-PBE.

It has space group P3m1 (No. 156), with a = 2.9152 Å, b = 2.9152 Å, c = 6.5299 Å, α = 90.00°, β = 90.00° and γ = 120.00°. The asymmetric unit holds Mn at (0.0000, 0.0000, 0.0000), Zn at (0.6667, 0.3333, 0.3159) and Au at (0.3333, 0.6667, 0.6585).

The energy of formation comes out at 0.24 eV per formula unit. The value obtained for the total energy is -13.483 eV/cell. Its magnetization is 3.72 Bohr magnetons per cell. The calculation puts the density of states at the Fermi level at 0.657 states/eV per atom.

12.
Mn2ZnAu after structural relaxation. Source: the Alexandria database, functional GGA-PBE.

It has space group Pm (No. 6), with a = 2.869 Å, b = 4.233 Å, c = 5.353 Å, α = 90.00°, β = 104.33° and γ = 90.00°. The asymmetric unit holds Mn at (0.000, 0.000, 0.000), Mn at (0.332, 0.500, 0.687), Zn at (0.589, 0.500, 0.179) and Au at (0.730, 0.000, 0.484).

The energy of formation comes out at 0.43 eV per formula unit. The value obtained for the total energy is -22.456 eV/cell. Its magnetization is 7.48 Bohr magnetons per cell. The calculation puts the density of states at the Fermi level at 0.723 states/eV per atom.

Q: Which value of energy of formation does entry 11 give?
A: 0.24 eV per formula unit

Q: What is the magnetization in the eighth record?
A: 30.39 Bohr magnetons per cell

Q: Number 10 is which compound?
A: Mn2ZnAu

Q: The highest density of states at the Fermi level belongs to which entry?
A: number 10